A relaxed Nd2Fe12P7 crystal. Source: Alexandria via LeMat-Bulk, functional GGA-PBEsol.

a = 3.6275 Å, b = 8.8974 Å, c = 8.8974 Å
α = 120.00°, β = 90.00°, γ = 90.00°
Last column: nearest neighbours and their distance in Å.
Fractional positions:
1 Fe 0.0000 0.1510 0.8796  4 P 2.10-2.26
2 Fe 0.0000 0.1204 0.2714  4 P 2.10-2.26
3 Fe 0.0000 0.9442 0.5760  4 P 2.25-2.27, 1 Fe 2.39
4 Nd 0.5000 0.6667 0.3333  6 P 2.84, 9 Fe 2.95-3.06
5 Fe 0.5000 0.3820 0.9511  4 P 2.23-2.32
6 Fe 0.0000 0.6318 0.0558  4 P 2.25-2.27, 1 Fe 2.39
7 Fe 0.5000 0.0489 0.4309  4 P 2.23-2.32
8 Fe 0.5000 0.2108 0.1139  3 P 2.23-2.44
9 P 0.0000 0.0000 0.0000  3 Fe 2.10
10 Fe 0.5000 0.8861 0.0969  3 P 2.23-2.44
11 P 0.5000 0.1052 0.7104  7 Fe 2.23-2.32
12 P 0.0000 0.7006 0.5940  5 Fe 2.16-2.27
13 P 0.5000 0.6052 0.8948  7 Fe 2.23-2.32
14 P 0.0000 0.4060 0.1066  5 Fe 2.16-2.27
15 Fe 0.5000 0.9031 0.7892  3 P 2.23-2.44
16 P 0.5000 0.2896 0.3948  7 Fe 2.23-2.32
17 Fe 0.0000 0.4240 0.3682  4 P 2.25-2.27, 1 Fe 2.39
18 Fe 0.0000 0.7286 0.8490  4 P 2.10-2.26
19 Nd 0.0000 0.3333 0.6667  6 P 2.89, 12 Fe 2.96-3.14
20 P 0.0000 0.8934 0.2994  5 Fe 2.16-2.27
21 Fe 0.5000 0.5691 0.6180  4 P 2.23-2.32

Formation energy ... -16.04 eV/f.u.
Fermi-level density of states ... 1.038 states/eV/atom
ρ ... 7.8 g/cm³
Space group ... No. 174
Total magnetization ... 0.357 μB per formula unit